No. 1
Here is crystalline CsInCoHg2 at its relaxed geometry from Alexandria. Energies are from PBE.

## Properties
symmetry: No. 123
V: 143.2 Å³/cell
DFT formation energy: 0.0210 eV/atom

abc: 5.331 5.331 5.038
angles: 90.00 90.00 90.00
Positions (direct):
Cs  0.000  0.000  0.000
In  0.500  0.500  0.000
Co  0.500  0.500  0.500
Hg  0.000  0.500  0.500
Hg  0.500  0.000  0.500

***

No. 2
Here is crystalline Cs2CoHgN at its relaxed geometry from Alexandria. Energies are from PBE.

## Properties
formation energy from raw total energies: 90.9 meV per atom
symmetry: No. 123
V: 154.5 Å³/cell

abc: 6.626 6.626 3.520
angles: 90.00 90.00 90.00
Positions (direct):
Cs  0.000  0.500  0.000
Cs  0.500  0.000  0.000
Co  0.000  0.000  0.500
Hg  0.500  0.500  0.500
N  0.000  0.000  0.000